ThIn3Cu8: optimized geometry, PBE.

Summary:
For the density of states at the Fermi level, the calculation gives 3.80 states/eV per cell. Its energy above the most stable polymorph in this dataset is 0.18 eV per formula unit. The value obtained for the energy of formation from the pure elements is -0.072 eV/atom. The volume is 16.28 Å³/atom.

Geometry as CIF:
```
data_ThIn3Cu8
_space_group_name_H-M_alt 'P 3 m 1'
_space_group_IT_number 156
_cell_length_a 5.0915
_cell_length_b 5.0915
_cell_length_c 8.7026
_cell_angle_alpha 90.00
_cell_angle_beta 90.00
_cell_angle_gamma 120.00
loop_
_space_group_symop_operation_xyz
'x,y,z'
'-y,x-y,z'
'-x+y,-x,z'
'-y,-x,z'
'-x+y,y,z'
'x,x-y,z'
loop_
_atom_site_label
_atom_site_type_symbol
_atom_site_fract_x
_atom_site_fract_y
_atom_site_fract_z
Th1 Th 0.0000 0.0000 0.0000
In1 In 0.0000 0.0000 0.3774
In2 In 0.6667 0.3333 0.4898
In3 In 0.6667 0.3333 0.8432
Cu1 Cu 0.9997 0.4999 0.1908
Cu2 Cu 0.1656 0.3312 0.6749
Cu3 Cu 0.3333 0.6667 0.4336
Cu4 Cu 0.3333 0.6667 0.9222
```

***

ThInCu: optimized geometry, PBE.

Summary:
For the density of states at the Fermi level, the calculation gives 4.76 states/eV per cell. The value obtained for the energy of formation from the pure elements is -0.122 eV/atom. The volume is 22.69 Å³/atom.

Geometry as CIF:
```
data_ThInCu
_space_group_name_H-M_alt 'I 4 m m'
_space_group_IT_number 107
_space_group_name_Hall 'I 4 -2'
_cell_length_a 3.375
_cell_length_b 3.375
_cell_length_c 11.950
_cell_angle_alpha 90.00
_cell_angle_beta 90.00
_cell_angle_gamma 90.00
loop_
_atom_site_label
_atom_site_type_symbol
_atom_site_fract_x
_atom_site_fract_y
_atom_site_fract_z
Th1 Th 0.000 0.000 0.000
In1 In 0.000 0.000 0.710
Cu1 Cu 0.000 0.000 0.337
```

***

ThIn2Cu2: optimized geometry, PBE.

Summary:
For the density of states at the Fermi level, the calculation gives 7.64 states/eV per cell. The value obtained for the energy of formation from the pure elements is -0.225 eV/atom. The volume is 20.93 Å³/atom.

Geometry as CIF:
```
data_ThIn2Cu2
_space_group_name_H-M_alt 'I 4/m m m'
_space_group_IT_number 139
_space_group_name_Hall '-I 4 2'
_cell_length_a 4.270
_cell_length_b 4.270
_cell_length_c 11.482
_cell_angle_alpha 90.00
_cell_angle_beta 90.00
_cell_angle_gamma 90.00
loop_
_atom_site_label
_atom_site_type_symbol
_atom_site_fract_x
_atom_site_fract_y
_atom_site_fract_z
Th1 Th 0.000 0.000 0.000
In1 In 0.000 0.500 0.250
Cu1 Cu 0.000 0.000 0.397
```

***

ThIn2Cu: optimized geometry, PBE.

Summary:
For the density of states at the Fermi level, the calculation gives 3.05 states/eV per cell. The value obtained for the energy of formation from the pure elements is -0.125 eV/atom. The volume is 24.16 Å³/atom.

Geometry as CIF:
```
data_ThIn2Cu
_space_group_name_H-M_alt 'P 4/m m m'
_space_group_IT_number 123
_space_group_name_Hall '-P 4 2'
_cell_length_a 4.520
_cell_length_b 4.520
_cell_length_c 4.730
_cell_angle_alpha 90.00
_cell_angle_beta 90.00
_cell_angle_gamma 90.00
loop_
_atom_site_label
_atom_site_type_symbol
_atom_site_fract_x
_atom_site_fract_y
_atom_site_fract_z
Th1 Th 0.000 0.000 0.000
In1 In 0.000 0.500 0.500
Cu1 Cu 0.500 0.500 0.000
```

***

ThIn2Cu6: optimized geometry, PBE.

Summary:
For the density of states at the Fermi level, the calculation gives 7.17 states/eV per cell. The value obtained for the energy of formation from the pure elements is 0.014 eV/atom. The volume is 17.76 Å³/atom.

Geometry as CIF:
```
data_ThIn2Cu6
_space_group_name_H-M_alt 'I m m m'
_space_group_IT_number 71
_space_group_name_Hall '-I 2 2'
_cell_length_a 3.661
_cell_length_b 6.932
_cell_length_c 12.596
_cell_angle_alpha 90.00
_cell_angle_beta 90.00
_cell_angle_gamma 90.00
loop_
_atom_site_label
_atom_site_type_symbol
_atom_site_fract_x
_atom_site_fract_y
_atom_site_fract_z
Th1 Th 0.000 0.000 0.000
In1 In 0.000 0.500 0.138
Cu1 Cu 0.000 0.174 0.500
Cu2 Cu 0.000 0.312 0.321
```

***

ThIn2Cu: optimized geometry, PBE.

Summary:
For the density of states at the Fermi level, the calculation gives 2.90 states/eV per cell. The value obtained for the energy of formation from the pure elements is -0.098 eV/atom. The volume is 23.14 Å³/atom.

Geometry as CIF:
```
data_ThIn2Cu
_space_group_name_H-M_alt 'P 4/m m m'
_space_group_IT_number 123
_space_group_name_Hall '-P 4 2'
_cell_length_a 3.470
_cell_length_b 3.470
_cell_length_c 7.687
_cell_angle_alpha 90.00
_cell_angle_beta 90.00
_cell_angle_gamma 90.00
loop_
_atom_site_label
_atom_site_type_symbol
_atom_site_fract_x
_atom_site_fract_y
_atom_site_fract_z
Th1 Th 0.000 0.000 0.000
In1 In 0.500 0.500 0.303
Cu1 Cu 0.000 0.000 0.500
```

***

ThIn2Cu: optimized geometry, PBE.

Summary:
For the density of states at the Fermi level, the calculation gives 8.70 states/eV per cell. The value obtained for the energy of formation from the pure elements is -0.283 eV/atom. The volume is 23.54 Å³/atom.

Geometry as CIF:
```
data_ThIn2Cu
_space_group_name_H-M_alt 'I 4/m m m'
_space_group_IT_number 139
_space_group_name_Hall '-I 4 2'
_cell_length_a 4.784
_cell_length_b 4.784
_cell_length_c 16.462
_cell_angle_alpha 90.00
_cell_angle_beta 90.00
_cell_angle_gamma 90.00
loop_
_atom_site_label
_atom_site_type_symbol
_atom_site_fract_x
_atom_site_fract_y
_atom_site_fract_z
Th1 Th 0.000 0.000 0.142
In1 In 0.000 0.000 0.350
In2 In 0.000 0.500 0.000
Cu1 Cu 0.000 0.500 0.250
```

***

ThInCu2: optimized geometry, PBE.

Summary:
For the density of states at the Fermi level, the calculation gives 7.88 states/eV per cell. The value obtained for the energy of formation from the pure elements is -0.252 eV/atom. The volume is 20.03 Å³/atom.

Geometry as CIF:
```
data_ThInCu2
_space_group_name_H-M_alt 'F m -3 m'
_space_group_IT_number 225
_space_group_name_Hall '-F 4 2 3'
_cell_length_a 6.843
_cell_length_b 6.843
_cell_length_c 6.843
_cell_angle_alpha 90.00
_cell_angle_beta 90.00
_cell_angle_gamma 90.00
loop_
_atom_site_label
_atom_site_type_symbol
_atom_site_fract_x
_atom_site_fract_y
_atom_site_fract_z
Th1 Th 0.000 0.000 0.000
In1 In 0.000 0.000 0.500
Cu1 Cu 0.250 0.250 0.250
```

***

Repeat the fifth record exactly.
ThIn2Cu6: optimized geometry, PBE.

Summary:
For the density of states at the Fermi level, the calculation gives 7.17 states/eV per cell. The value obtained for the energy of formation from the pure elements is 0.014 eV/atom. The volume is 17.76 Å³/atom.

Geometry as CIF:
```
data_ThIn2Cu6
_space_group_name_H-M_alt 'I m m m'
_space_group_IT_number 71
_space_group_name_Hall '-I 2 2'
_cell_length_a 3.661
_cell_length_b 6.932
_cell_length_c 12.596
_cell_angle_alpha 90.00
_cell_angle_beta 90.00
_cell_angle_gamma 90.00
loop_
_atom_site_label
_atom_site_type_symbol
_atom_site_fract_x
_atom_site_fract_y
_atom_site_fract_z
Th1 Th 0.000 0.000 0.000
In1 In 0.000 0.500 0.138
Cu1 Cu 0.000 0.174 0.500
Cu2 Cu 0.000 0.312 0.321
```

***

> The highest volume belongs to which entry?

number 4

***

> Which of these has the highest volume?

number 4